[1]
This record from Alexandria via LeMat-Bulk describes crystalline Li2CuSiO4 at its relaxed geometry. The functional is GGA-PBEsol.

Cell lengths 4.977, 4.977, 11.305 Å; angles 90.00, 90.00, 120.00 degrees
Fractional positions:
Li1 0.117 0.453 0.420
Li2 0.336 0.883 0.087
Li3 0.453 0.117 0.580
Li4 0.547 0.664 0.753
Li5 0.664 0.547 0.247
Li6 0.883 0.336 0.913
Cu1 0.000 0.458 0.667
Cu2 0.458 0.000 0.333
Cu3 0.542 0.542 0.000
Si1 0.000 0.181 0.167
Si2 0.181 0.000 0.833
Si3 0.819 0.819 0.500
O1 0.127 0.433 0.057
O2 0.138 0.292 0.791
O3 0.154 0.862 0.458
O4 0.292 0.138 0.209
O5 0.307 0.873 0.724
O6 0.433 0.127 0.943
O7 0.567 0.693 0.391
O8 0.693 0.567 0.609
O9 0.708 0.846 0.125
O10 0.846 0.708 0.875
O11 0.862 0.154 0.542
O12 0.873 0.307 0.276

Calculated values
ρ, g/cm³: 3.482
Total moment, μB per cell: 2.995
Offset from the most stable computed form, eV/atom: 0.010
Space-group type: P3_121
Raw formation energy, eV/atom: -1.991

=====

[2]
This record from Alexandria via LeMat-Bulk describes crystalline TlInIr at its relaxed geometry. The functional is GGA-PBEsol.

Cell lengths 3.188, 3.188, 6.842 Å; angles 90.00, 90.00, 120.00 degrees
Fractional positions:
Tl1 0.000 0.000 0.000
In1 0.333 0.667 0.608
Ir1 0.667 0.333 0.316

Calculated values
ρ, g/cm³: 14.097
Total moment, μB per cell: 0.000
Space-group type: P3m1
ΔH_f (0 K), eV per atom: 0.32

=====

[3]
This record from Alexandria via LeMat-Bulk describes crystalline Zr2CuReSn at its relaxed geometry. The functional is GGA-PBEsol.

Cell lengths 5.188, 5.188, 4.770 Å; angles 90.00, 90.00, 90.00 degrees
Fractional positions:
Zr1 0.000 0.500 0.000
Zr2 0.500 0.000 0.000
Cu1 0.000 0.000 0.500
Re1 0.500 0.500 0.500
Sn1 0.500 0.500 0.000

Calculated values
ρ, g/cm³: 7.125
Total moment, μB per cell: 0.000
Space-group type: P4/mmm
ΔH_f (0 K), eV per atom: 1.73

=====

[4]
This record from Alexandria via LeMat-Bulk describes crystalline RbSi2BPd at its relaxed geometry. The functional is GGA-PBEsol.

Cell lengths 4.576, 4.576, 6.036 Å; angles 90.00, 90.00, 90.00 degrees
Fractional positions:
Rb1 0.000 0.000 0.000
Si1 0.000 0.500 0.500
Si2 0.500 0.000 0.500
B1 0.500 0.500 0.000
Pd1 0.000 0.000 0.500

Calculated values
ρ, g/cm³: 3.401
Total moment, μB per cell: 0.741
Space-group type: P4/mmm
Raw formation energy, eV/atom: 1.215

=====

[5]
This record from Alexandria via LeMat-Bulk describes crystalline Li5Se3 at its relaxed geometry. The functional is GGA-PBEsol.

Cell lengths 7.531, 7.531, 7.531 Å; angles 96.93, 96.93, 139.35 degrees
Fractional positions:
Li1 0.084 0.781 0.865
Li2 0.219 0.084 0.303
Li3 0.250 0.750 0.500
Li4 0.281 0.584 0.865
Li5 0.416 0.281 0.697
Li6 0.584 0.719 0.303
Li7 0.719 0.416 0.135
Li8 0.750 0.250 0.500
Li9 0.781 0.916 0.697
Li10 0.916 0.219 0.135
Se1 0.153 0.347 0.500
Se2 0.250 0.250 0.000
Se3 0.347 0.847 0.193
Se4 0.653 0.153 0.807
Se5 0.750 0.750 0.000
Se6 0.847 0.653 0.500

Calculated values
ρ, g/cm³: 3.456
Total moment, μB per cell: 0.000
Space-group type: I4/mcm
Raw formation energy, eV/atom: -1.107

=====

[6]
This record from Alexandria via LeMat-Bulk describes crystalline Fe2TcP at its relaxed geometry. The functional is GGA-PBEsol.

Cell lengths 2.627, 2.627, 6.311 Å; angles 90.00, 90.00, 90.00 degrees
Fractional positions:
Fe1 0.000 0.000 0.206
Fe2 0.000 0.000 0.794
Tc1 0.500 0.500 0.500
P1 0.500 0.500 0.000

Calculated values
ρ, g/cm³: 9.175
Total moment, μB per cell: 0.000
Space-group type: P4/mmm
ΔH_f (0 K), eV per atom: -0.30

=====

[7]
This record from Alexandria via LeMat-Bulk describes crystalline ZrSb2Pd at its relaxed geometry. The functional is GGA-PBEsol.

Cell lengths 4.869, 4.869, 4.869 Å; angles 60.00, 60.00, 60.00 degrees
Fractional positions:
Zr1 0.000 0.000 0.000
Sb1 0.250 0.250 0.250
Sb2 0.750 0.750 0.750
Pd1 0.500 0.500 0.500

Calculated values
ρ, g/cm³: 8.974
Total moment, μB per cell: 0.000
Space-group type: Fm-3m
Raw formation energy, eV/atom: -0.346

=====

[8]
This record from Alexandria via LeMat-Bulk describes crystalline Ti2CoIr at its relaxed geometry. The functional is GGA-PBEsol.

Cell lengths 4.271, 4.271, 4.271 Å; angles 60.00, 60.00, 60.00 degrees
Fractional positions:
Ti1 0.250 0.250 0.250
Ti2 0.750 0.750 0.750
Co1 0.000 0.000 0.000
Ir1 0.500 0.500 0.500

Calculated values
ρ, g/cm³: 10.457
Total moment, μB per cell: 1.374
Space-group type: Fm-3m
ΔH_f (0 K), eV per atom: -0.64